Density functional theory data (GGA-PBE) for a relaxed structure of FeRe2Sb.

Unit cell a=3.166 b=4.404 c=8.758 alpha=90.00 beta=90.00 gamma=90.00
Space group Imm2 (No. 44)
Unique sites:
Fe: 0.000 0.000 0.000
Re: 0.000 0.000 0.512
Re: 0.000 0.500 0.749
Sb: 0.000 0.500 0.267

Computed properties:
Crystal system: orthorhombic
Magnetization in μB per formula unit: 1.96
Calculated total energy in eV per cell: -71.2
Volume in Å³ per atom: 15.3

---

Density functional theory data (GGA-PBE) for a relaxed structure of FeReSb2.

Unit cell a=6.481 b=6.481 c=6.481 alpha=90.00 beta=90.00 gamma=90.00
Space group Fm-3m (No. 225)
Unique sites:
Fe: 0.000 0.000 0.000
Re: 0.000 0.000 0.500
Sb: 0.250 0.250 0.250

Computed properties:
Crystal system: cubic
Offset from the most stable computed form in eV/f.u.: 1.12
Magnetization in μB per formula unit: 0.97
Calculated total energy in eV per cell: -108.0
Volume in Å³ per atom: 17.0

---

Density functional theory data (GGA-PBE) for a relaxed structure of FeRe2Sb.

Unit cell a=2.916 b=3.776 c=5.866 alpha=90.00 beta=95.34 gamma=90.00
Space group P2/m (No. 10)
Unique sites:
Fe: 0.000 0.000 0.000
Re: 0.452 0.500 0.793
Sb: 0.000 0.000 0.500

Computed properties:
Crystal system: monoclinic
Magnetization in μB per formula unit: 1.91
Calculated total energy in eV per cell: -35.2
Volume in Å³ per atom: 16.1

---

Density functional theory data (GGA-PBE) for a relaxed structure of Fe3ReSb.

Unit cell a=4.603 b=4.603 c=4.603 alpha=90.00 beta=90.00 gamma=90.00
Space group Pm-3m (No. 221)
Unique sites:
Fe: 0.000 0.000 0.500
Re: 0.500 0.500 0.500
Sb: 0.000 0.000 0.000

Computed properties:
Crystal system: cubic
Offset from the most stable computed form in eV/f.u.: 3.17
Magnetization in μB per formula unit: 10.11
Calculated total energy in eV per cell: -32.1
Volume in Å³ per atom: 19.5

---

Density functional theory data (GGA-PBE) for a relaxed structure of FeRe4Sb.

Unit cell a=7.414 b=7.414 c=7.414 alpha=90.00 beta=90.00 gamma=90.00
Space group F-43m (No. 216)
Unique sites:
Fe: 0.000 0.000 0.000
Re: 0.126 0.126 0.626
Sb: 0.250 0.250 0.250

Computed properties:
Crystal system: cubic
Magnetization in μB per formula unit: 3.29
Calculated total energy in eV per cell: -231.6
Volume in Å³ per atom: 17.0

---

Density functional theory data (GGA-PBE) for a relaxed structure of FeRe2Sb.

Unit cell a=6.284 b=6.284 c=6.284 alpha=90.00 beta=90.00 gamma=90.00
Space group F-43m (No. 216)
Unique sites:
Fe: 0.000 0.000 0.000
Re: 0.000 0.000 0.500
Re: 0.250 0.250 0.750
Sb: 0.250 0.250 0.250

Computed properties:
Crystal system: cubic
Magnetization in μB per formula unit: 2.67
Calculated total energy in eV per cell: -141.1
Volume in Å³ per atom: 15.5

---

Density functional theory data (GGA-PBE) for a relaxed structure of FeReSbTe2.

Unit cell a=5.848 b=5.848 c=4.767 alpha=90.00 beta=90.00 gamma=90.00
Space group P4/mmm (No. 123)
Unique sites:
Fe: 0.000 0.000 0.000
Re: 0.500 0.500 0.000
Sb: 0.000 0.000 0.500
Te: 0.000 0.500 0.500

Computed properties:
Crystal system: tetragonal
Offset from the most stable computed form in eV/f.u.: 4.43
Magnetization in μB per formula unit: 8.11
Calculated total energy in eV per cell: -22.1
Volume in Å³ per atom: 32.6

---

Density functional theory data (GGA-PBE) for a relaxed structure of FeReSbTe2.

Unit cell a=5.249 b=5.249 c=4.688 alpha=90.00 beta=90.00 gamma=90.00
Space group P4/mmm (No. 123)
Unique sites:
Fe: 0.000 0.000 0.000
Re: 0.000 0.000 0.500
Sb: 0.500 0.500 0.000
Te: 0.000 0.500 0.500

Computed properties:
Crystal system: tetragonal
Offset from the most stable computed form in eV/f.u.: 0.00
Magnetization in μB per formula unit: 2.93
Calculated total energy in eV per cell: -26.5
Volume in Å³ per atom: 25.8

---

Density functional theory data (GGA-PBE) for a relaxed structure of FeReSbTe2.

Unit cell a=5.276 b=5.276 c=5.162 alpha=90.00 beta=90.00 gamma=90.00
Space group P4/mmm (No. 123)
Unique sites:
Fe: 0.000 0.000 0.000
Re: 0.500 0.500 0.500
Sb: 0.500 0.500 0.000
Te: 0.000 0.500 0.500

Computed properties:
Crystal system: tetragonal
Offset from the most stable computed form in eV/f.u.: 1.19
Magnetization in μB per formula unit: 2.54
Calculated total energy in eV per cell: -25.3
Volume in Å³ per atom: 28.7

---

Density functional theory data (GGA-PBE) for a relaxed structure of FeReSb2Te.

Unit cell a=4.768 b=4.768 c=4.896 alpha=90.00 beta=90.00 gamma=90.00
Space group P4/mmm (No. 123)
Unique sites:
Fe: 0.000 0.000 0.000
Re: 0.500 0.500 0.500
Sb: 0.000 0.500 0.000
Te: 0.000 0.000 0.500

Computed properties:
Crystal system: tetragonal
Offset from the most stable computed form in eV/f.u.: 0.00
Magnetization in μB per formula unit: 0.00
Calculated total energy in eV per cell: -25.9
Volume in Å³ per atom: 22.3

---

Density functional theory data (GGA-PBE) for a relaxed structure of FeReSb2Te.

Unit cell a=5.161 b=5.161 c=5.175 alpha=90.00 beta=90.00 gamma=90.00
Space group P4/mmm (No. 123)
Unique sites:
Fe: 0.000 0.000 0.000
Re: 0.500 0.500 0.500
Sb: 0.000 0.500 0.500
Te: 0.500 0.500 0.000

Computed properties:
Crystal system: tetragonal
Offset from the most stable computed form in eV/f.u.: 0.91
Magnetization in μB per formula unit: 0.12
Calculated total energy in eV per cell: -24.9
Volume in Å³ per atom: 27.6

---

Density functional theory data (GGA-PBE) for a relaxed structure of FeReSbTe2.

Unit cell a=4.858 b=4.858 c=4.760 alpha=90.00 beta=90.00 gamma=90.00
Space group P4/mmm (No. 123)
Unique sites:
Fe: 0.000 0.000 0.000
Re: 0.500 0.500 0.500
Sb: 0.000 0.000 0.500
Te: 0.000 0.500 0.000

Computed properties:
Crystal system: tetragonal
Offset from the most stable computed form in eV/f.u.: 1.76
Magnetization in μB per formula unit: 0.00
Calculated total energy in eV per cell: -24.7
Volume in Å³ per atom: 22.5

---

Density functional theory data (GGA-PBE) for a relaxed structure of VFe2ReSb.

Unit cell a=4.495 b=4.495 c=4.738 alpha=90.00 beta=90.00 gamma=90.00
Space group P4/mmm (No. 123)
Unique sites:
V: 0.000 0.000 0.000
Fe: 0.000 0.500 0.500
Re: 0.500 0.500 0.000
Sb: 0.000 0.000 0.500

Computed properties:
Crystal system: tetragonal
Magnetization in μB per formula unit: 2.80
Calculated total energy in eV per cell: -32.7
Volume in Å³ per atom: 19.1

---

Density functional theory data (GGA-PBE) for a relaxed structure of FeRe2SbW.

Unit cell a=4.755 b=4.755 c=5.024 alpha=90.00 beta=90.00 gamma=90.00
Space group P4/mmm (No. 123)
Unique sites:
Fe: 0.000 0.000 0.000
Re: 0.000 0.500 0.500
Sb: 0.500 0.500 0.000
W: 0.500 0.500 0.500

Computed properties:
Crystal system: tetragonal
Offset from the most stable computed form in eV/f.u.: 0.00
Magnetization in μB per formula unit: 0.77
Calculated total energy in eV per cell: -38.1
Volume in Å³ per atom: 22.7

---

Density functional theory data (GGA-PBE) for a relaxed structure of FeRe2SbW.

Unit cell a=4.796 b=4.796 c=4.867 alpha=90.00 beta=90.00 gamma=90.00
Space group P4/mmm (No. 123)
Unique sites:
Fe: 0.000 0.000 0.000
Re: 0.000 0.500 0.500
Sb: 0.500 0.500 0.500
W: 0.500 0.500 0.000

Computed properties:
Crystal system: tetragonal
Offset from the most stable computed form in eV/f.u.: 1.69
Magnetization in μB per formula unit: 2.61
Calculated total energy in eV per cell: -36.4
Volume in Å³ per atom: 22.4

---

Density functional theory data (GGA-PBE) for a relaxed structure of ScFe2Re.

Unit cell a=2.705 b=4.336 c=4.902 alpha=90.00 beta=99.51 gamma=90.00
Space group Pm (No. 6)
Unique sites:
Sc: 0.000 0.000 0.000
Fe: 0.533 0.000 0.492
Fe: 0.678 0.500 0.211
Re: 0.258 0.500 0.687

Computed properties:
Crystal system: monoclinic
Magnetization in μB per formula unit: 3.36
Calculated total energy in eV per cell: -35.3
Energy of formation from the pure elements in meV/atom: 98
Volume in Å³ per atom: 14.2

---

Density functional theory data (GGA-PBE) for a relaxed structure of ScFeRe2.

Unit cell a=2.723 b=4.515 c=5.035 alpha=90.00 beta=99.37 gamma=90.00
Space group P2/m (No. 10)
Unique sites:
Sc: 0.000 0.000 0.000
Fe: 0.500 0.000 0.500
Re: 0.283 0.500 0.748

Computed properties:
Crystal system: monoclinic
Offset from the most stable computed form in eV/f.u.: 0.54
Magnetization in μB per formula unit: 1.99
Calculated total energy in eV per cell: -39.3
Energy of formation from the pure elements in meV/atom: 94
Volume in Å³ per atom: 15.3

---

Density functional theory data (GGA-PBE) for a relaxed structure of Sc2FeRe.

Unit cell a=3.415 b=4.185 c=4.671 alpha=90.00 beta=90.00 gamma=90.00
Space group Pmmm (No. 47)
Unique sites:
Sc: 0.000 0.000 0.000
Sc: 0.500 0.000 0.500
Fe: 0.000 0.500 0.500
Re: 0.500 0.500 0.000

Computed properties:
Crystal system: orthorhombic
Offset from the most stable computed form in eV/f.u.: 0.83
Magnetization in μB per formula unit: 1.54
Calculated total energy in eV per cell: -32.9
Energy of formation from the pure elements in meV/atom: 177
Volume in Å³ per atom: 16.7

---

Density functional theory data (GGA-PBE) for a relaxed structure of Sc2FeRe.

Unit cell a=3.387 b=4.631 c=8.382 alpha=90.00 beta=90.00 gamma=90.00
Space group Cmmm (No. 65)
Unique sites:
Sc: 0.000 0.000 0.235
Fe: 0.000 0.500 0.000
Re: 0.000 0.500 0.500

Computed properties:
Crystal system: orthorhombic
Offset from the most stable computed form in eV/f.u.: 0.57
Magnetization in μB per formula unit: 0.99
Calculated total energy in eV per cell: -66.3
Energy of formation from the pure elements in meV/atom: 110
Volume in Å³ per atom: 16.4

---

Density functional theory data (GGA-PBE) for a relaxed structure of Sc2FeRe.

Unit cell a=2.9868 b=2.9868 c=25.7752 alpha=90.00 beta=90.00 gamma=120.00
Space group R-3m (No. 166, hexagonal axes)
Unique sites:
Sc: 0.0000 0.0000 0.2448
Fe: 0.0000 0.0000 0.5000
Re: 0.0000 0.0000 0.0000

Computed properties:
Crystal system: trigonal
Offset from the most stable computed form in eV/f.u.: 1.24
Magnetization in μB per formula unit: 0.82
Calculated total energy in eV per cell: -97.4
Energy of formation from the pure elements in meV/atom: 278
Volume in Å³ per atom: 16.6

---

Density functional theory data (GGA-PBE) for a relaxed structure of ScFe2Re.

Unit cell a=3.145 b=4.175 c=4.326 alpha=90.00 beta=90.00 gamma=90.00
Space group Pmmm (No. 47)
Unique sites:
Sc: 0.000 0.000 0.000
Fe: 0.000 0.500 0.500
Fe: 0.500 0.500 0.000
Re: 0.500 0.000 0.500

Computed properties:
Crystal system: orthorhombic
Magnetization in μB per formula unit: 3.52
Calculated total energy in eV per cell: -35.0
Energy of formation from the pure elements in meV/atom: 183
Volume in Å³ per atom: 14.2

---

Density functional theory data (GGA-PBE) for a relaxed structure of ScFeRe2.

Unit cell a=2.709 b=2.709 c=8.157 alpha=90.00 beta=90.00 gamma=90.00
Space group P4/mmm (No. 123)
Unique sites:
Sc: 0.000 0.000 0.000
Fe: 0.000 0.000 0.500
Re: 0.500 0.500 0.286

Computed properties:
Crystal system: tetragonal
Offset from the most stable computed form in eV/f.u.: 0.55
Magnetization in μB per formula unit: 0.00
Calculated total energy in eV per cell: -39.3
Energy of formation from the pure elements in meV/atom: 96
Volume in Å³ per atom: 15.0

---

Density functional theory data (GGA-PBE) for a relaxed structure of ScFeRe.

Unit cell a=4.4077 b=4.4077 c=2.7617 alpha=90.00 beta=90.00 gamma=120.00
Space group P3m1 (No. 156)
Unique sites:
Sc: 0.0000 0.0000 0.0000
Fe: 0.3333 0.6667 0.3784
Re: 0.6667 0.3333 0.5927

Computed properties:
Crystal system: trigonal
Offset from the most stable computed form in eV/f.u.: 1.20
Magnetization in μB per formula unit: 1.97
Calculated total energy in eV per cell: -26.8
Energy of formation from the pure elements in meV/atom: 149
Volume in Å³ per atom: 15.5

---

Density functional theory data (GGA-PBE) for a relaxed structure of ScFe2Re.

Unit cell a=2.947 b=4.341 c=8.896 alpha=90.00 beta=90.00 gamma=90.00
Space group Imm2 (No. 44)
Unique sites:
Sc: 0.000 0.000 0.000
Fe: 0.000 0.000 0.497
Fe: 0.000 0.500 0.768
Re: 0.000 0.500 0.229

Computed properties:
Crystal system: orthorhombic
Magnetization in μB per formula unit: 3.45
Calculated total energy in eV per cell: -70.9
Energy of formation from the pure elements in meV/atom: 65
Volume in Å³ per atom: 14.2

---

Density functional theory data (GGA-PBE) for a relaxed structure of Sc2FeRe.

Unit cell a=3.306 b=3.306 c=6.217 alpha=90.00 beta=90.00 gamma=90.00
Space group P4/mmm (No. 123)
Unique sites:
Sc: 0.000 0.000 0.250
Fe: 0.500 0.500 0.000
Re: 0.500 0.500 0.500

Computed properties:
Crystal system: tetragonal
Offset from the most stable computed form in eV/f.u.: 0.41
Magnetization in μB per formula unit: 2.17
Calculated total energy in eV per cell: -33.3
Energy of formation from the pure elements in meV/atom: 71
Volume in Å³ per atom: 17.0

---

Density functional theory data (GGA-PBE) for a relaxed structure of ScFe4Re.

Unit cell a=6.803 b=6.803 c=6.803 alpha=90.00 beta=90.00 gamma=90.00
Space group F-43m (No. 216)
Unique sites:
Sc: 0.000 0.000 0.000
Fe: 0.124 0.124 0.624
Re: 0.250 0.250 0.250

Computed properties:
Crystal system: cubic
Magnetization in μB per formula unit: 7.66
Calculated total energy in eV per cell: -211.4
Energy of formation from the pure elements in meV/atom: -37
Volume in Å³ per atom: 13.1

---

Density functional theory data (GGA-PBE) for a relaxed structure of Sc2FeRe.

Unit cell a=4.551 b=4.551 c=3.260 alpha=90.00 beta=90.00 gamma=90.00
Space group P4/mmm (No. 123)
Unique sites:
Sc: 0.000 0.500 0.000
Fe: 0.000 0.000 0.500
Re: 0.500 0.500 0.500

Computed properties:
Crystal system: tetragonal
Offset from the most stable computed form in eV/f.u.: 0.49
Magnetization in μB per formula unit: 1.98
Calculated total energy in eV per cell: -33.2
Energy of formation from the pure elements in meV/atom: 90
Volume in Å³ per atom: 16.9

---

Density functional theory data (GGA-PBE) for a relaxed structure of ScFeRe2.

Unit cell a=3.710 b=3.710 c=8.826 alpha=90.00 beta=90.00 gamma=90.00
Space group I4/mmm (No. 139)
Unique sites:
Sc: 0.000 0.000 0.000
Fe: 0.000 0.000 0.500
Re: 0.000 0.500 0.250

Computed properties:
Crystal system: tetragonal
Offset from the most stable computed form in eV/f.u.: 1.05
Magnetization in μB per formula unit: 0.00
Calculated total energy in eV per cell: -77.6
Energy of formation from the pure elements in meV/atom: 221
Volume in Å³ per atom: 15.2

---

Density functional theory data (GGA-PBE) for a relaxed structure of ScFeRe2.

Unit cell a=6.214 b=6.214 c=6.214 alpha=90.00 beta=90.00 gamma=90.00
Space group F-43m (No. 216)
Unique sites:
Sc: 0.000 0.000 0.000
Fe: 0.250 0.250 0.750
Re: 0.000 0.000 0.500
Re: 0.250 0.250 0.250

Computed properties:
Crystal system: cubic
Offset from the most stable computed form in eV/f.u.: 0.00
Magnetization in μB per formula unit: 1.59
Calculated total energy in eV per cell: -159.4
Energy of formation from the pure elements in meV/atom: -41
Volume in Å³ per atom: 15.0

---

Density functional theory data (GGA-PBE) for a relaxed structure of ScFe2Re.

Unit cell a=2.8006 b=2.8006 c=25.7517 alpha=90.00 beta=90.00 gamma=120.00
Space group R-3m (No. 166, hexagonal axes)
Unique sites:
Sc: 0.0000 0.0000 0.0000
Fe: 0.0000 0.0000 0.2460
Re: 0.0000 0.0000 0.5000

Computed properties:
Crystal system: trigonal
Magnetization in μB per formula unit: 3.43
Calculated total energy in eV per cell: -103.5
Energy of formation from the pure elements in meV/atom: 304
Volume in Å³ per atom: 14.6